Here is a geometry-optimized MgCrO3 structure from Alexandria. Energies are from GGA+U.

Summary:
Theoretical density ... 3.20 g/cm3
Electronic total energy ... -6.605 eV per atom

a b c (Å): 2.646 5.397 9.043
angles (deg): 90.00 90.00 90.00
Fractional positions:
Mg 0.000 0.000 0.000
Mg 0.000 0.500 0.500
Cr 0.000 0.000 0.661
Cr 0.000 0.500 0.161
O 0.500 0.000 0.822
O 0.500 0.238 0.588
O 0.500 0.262 0.088
O 0.500 0.500 0.322
O 0.500 0.738 0.088
O 0.500 0.762 0.588